VASP calculation (PBEsol) on a relaxed structure of ZnIrOs2.

Cell: 2.7424 4.5269 4.5269 Å, 90.00 90.00 90.00°
Last column: nearest neighbours and their distance in Å.
Sites, in units of the cell vectors:
Os1 0.0000 0.0000 0.5000  4 Zn 2.65, 4 Ir 2.65, 2 Os 2.74
Zn1 0.5000 0.5000 0.5000  8 Os 2.65, 2 Zn 2.74
Ir1 0.5000 0.0000 0.0000  8 Os 2.65, 2 Ir 2.74
Os2 0.0000 0.5000 0.0000  4 Zn 2.65, 4 Ir 2.65, 2 Os 2.74

## Properties
Crystal system ... tetragonal
Spin magnetization ... 0.00 μB per cell
DFT formation energy ... 0.484 eV/atom